## 1
## Li3MgSi (PBE)

Data for an optimized crystal structure of Li3MgSi.

Geometry as CIF:
```
data_Li3MgSi
_chemical_formula_sum 'Li3 Mg1 Si1'
_cell_length_a 4.7500
_cell_length_b 4.7500
_cell_length_c 4.7500
_cell_angle_alpha 90.00
_cell_angle_beta 90.00
_cell_angle_gamma 90.00
_space_group_name_H-M_alt 'P m -3 m'
_space_group_IT_number 221
_space_group_name_Hall '-P 4 2 3'
loop_
_atom_site_label
_atom_site_fract_x
_atom_site_fract_y
_atom_site_fract_z
_atom_site_occupancy
Li1 0.0000 0.0000 0.5000 1
Mg1 0.5000 0.5000 0.5000 1
Si1 0.0000 0.0000 0.0000 1
```



## 2
## Li3MgSi (PBE)

Data for an optimized crystal structure of Li3MgSi.

Geometry as CIF:
```
data_Li3MgSi
_chemical_formula_sum 'Li3 Mg1 Si1'
_cell_length_a 4.7889
_cell_length_b 4.7889
_cell_length_c 4.7889
_cell_angle_alpha 90.00
_cell_angle_beta 90.00
_cell_angle_gamma 90.00
_space_group_name_H-M_alt 'P m -3 m'
_space_group_IT_number 221
_space_group_name_Hall '-P 4 2 3'
loop_
_atom_site_label
_atom_site_fract_x
_atom_site_fract_y
_atom_site_fract_z
_atom_site_occupancy
Li1 0.0000 0.0000 0.5000 1
Mg1 0.0000 0.0000 0.0000 1
Si1 0.5000 0.5000 0.5000 1
```



## 3
## Li3MgSi (PBE)

Data for an optimized crystal structure of Li3MgSi.

Geometry as CIF:
```
data_Li3MgSi
_chemical_formula_sum 'Li24 Mg8 Si8'
_cell_length_a 11.3419
_cell_length_b 9.5289
_cell_length_c 6.7815
_cell_angle_alpha 90.00
_cell_angle_beta 98.03
_cell_angle_gamma 90.00
_space_group_name_H-M_alt 'C 1 2/c 1'
_space_group_IT_number 15
_space_group_name_Hall '-C 2yc'
loop_
_atom_site_label
_atom_site_fract_x
_atom_site_fract_y
_atom_site_fract_z
_atom_site_occupancy
Li1 0.1353 0.2042 0.0579 1
Li2 0.1784 0.1743 0.6217 1
Li3 0.2076 0.4988 0.1204 1
Mg1 0.0000 0.0207 0.2500 1
Mg2 0.0000 0.3905 0.7500 1
Si1 0.0826 0.3386 0.3722 1
```



## 4
## Li3MgSi (PBE)

Data for an optimized crystal structure of Li3MgSi.

Geometry as CIF:
```
data_Li3MgSi
_chemical_formula_sum 'Li12 Mg4 Si4'
_cell_length_a 27.7389
_cell_length_b 4.3969
_cell_length_c 3.2646
_cell_angle_alpha 90.00
_cell_angle_beta 96.52
_cell_angle_gamma 90.00
_space_group_name_H-M_alt 'C 1 2/m 1'
_space_group_IT_number 12
_space_group_name_Hall '-C 2y'
loop_
_atom_site_label
_atom_site_fract_x
_atom_site_fract_y
_atom_site_fract_z
_atom_site_occupancy
Li1 0.0493 0.0000 0.3034 1
Li2 0.2037 0.0000 0.4598 1
Li3 0.2058 0.5000 0.9619 1
Mg1 0.1188 0.5000 0.3801 1
Si1 0.1282 0.0000 0.8868 1
```



Referenced to the most stable arrangement, the calculated values in meV/atom are 1 225; 2 765; 3 0; 4 67.



## 1
## LiSm2Mg3 (PBE)

Data for an optimized crystal structure of LiSm2Mg3.

Geometry as CIF:
```
data_LiSm2Mg3
_chemical_formula_sum 'Li1 Sm2 Mg3'
_cell_length_a 3.7240
_cell_length_b 3.7240
_cell_length_c 11.3992
_cell_angle_alpha 90.00
_cell_angle_beta 90.00
_cell_angle_gamma 90.00
_space_group_name_H-M_alt 'P 4/m m m'
_space_group_IT_number 123
_space_group_name_Hall '-P 4 2'
loop_
_atom_site_label
_atom_site_fract_x
_atom_site_fract_y
_atom_site_fract_z
_atom_site_occupancy
Li1 0.0000 0.0000 0.0000 1
Sm1 0.0000 0.0000 0.3301 1
Mg1 0.5000 0.5000 0.1434 1
Mg2 0.5000 0.5000 0.5000 1
```



## 2
## LiSm2Mg3 (PBE)

Data for an optimized crystal structure of LiSm2Mg3.

Geometry as CIF:
```
data_LiSm2Mg3
_chemical_formula_sum 'Li2 Sm4 Mg6'
_cell_length_a 6.1176
_cell_length_b 6.1176
_cell_length_c 9.7175
_cell_angle_alpha 90.00
_cell_angle_beta 90.00
_cell_angle_gamma 120.00
_space_group_name_H-M_alt 'P 63/m m c'
_space_group_IT_number 194
_space_group_name_Hall '-P 6c 2c'
loop_
_atom_site_label
_atom_site_fract_x
_atom_site_fract_y
_atom_site_fract_z
_atom_site_occupancy
Li1 0.0000 0.0000 0.0000 1
Sm1 0.3333 0.6667 0.0706 1
Mg1 0.1691 0.3381 0.7500 1
```



Referenced to the most stable arrangement, the calculated values in meV/atom are 1 0; 2 20.



## 1
## Li2SmMg (PBE)

Data for an optimized crystal structure of Li2SmMg.

Geometry as CIF:
```
data_Li2SmMg
_chemical_formula_sum 'Li2 Sm1 Mg1'
_cell_length_a 5.3076
_cell_length_b 5.3076
_cell_length_c 3.3566
_cell_angle_alpha 90.00
_cell_angle_beta 90.00
_cell_angle_gamma 90.00
_space_group_name_H-M_alt 'P 4/m m m'
_space_group_IT_number 123
_space_group_name_Hall '-P 4 2'
loop_
_atom_site_label
_atom_site_fract_x
_atom_site_fract_y
_atom_site_fract_z
_atom_site_occupancy
Li1 0.0000 0.5000 0.0000 1
Sm1 0.0000 0.0000 0.5000 1
Mg1 0.5000 0.5000 0.5000 1
```



## 2
## Li2SmMg (PBE)

Data for an optimized crystal structure of Li2SmMg.

Geometry as CIF:
```
data_Li2SmMg
_chemical_formula_sum 'Li8 Sm4 Mg4'
_cell_length_a 7.1905
_cell_length_b 7.1905
_cell_length_c 7.1905
_cell_angle_alpha 90.00
_cell_angle_beta 90.00
_cell_angle_gamma 90.00
_space_group_name_H-M_alt 'F m -3 m'
_space_group_IT_number 225
_space_group_name_Hall '-F 4 2 3'
loop_
_atom_site_label
_atom_site_fract_x
_atom_site_fract_y
_atom_site_fract_z
_atom_site_occupancy
Li1 0.2500 0.2500 0.2500 1
Sm1 0.0000 0.0000 0.0000 1
Mg1 0.0000 0.0000 0.5000 1
```



Referenced to the most stable arrangement, the calculated values in meV/atom are 1 56; 2 0.



## 1
## Li2SmMg (PBE)

Data for an optimized crystal structure of Li2SmMg.

Geometry as CIF:
```
data_Li2SmMg
_chemical_formula_sum 'Li6 Sm3 Mg3'
_cell_length_a 3.3271
_cell_length_b 3.3271
_cell_length_c 31.3496
_cell_angle_alpha 90.00
_cell_angle_beta 90.00
_cell_angle_gamma 120.00
_space_group_name_H-M_alt 'R 3 m'
_space_group_IT_number 160
_space_group_name_Hall 'R 3 -2"'
loop_
_atom_site_label
_atom_site_fract_x
_atom_site_fract_y
_atom_site_fract_z
_atom_site_occupancy
Li1 0.0000 0.0000 0.0000 1
Li2 0.0000 0.0000 0.1789 1
Sm1 0.0000 0.0000 0.4225 1
Mg1 0.0000 0.0000 0.5897 1
```



## 2
## Li2SmMg (PBE)

Data for an optimized crystal structure of Li2SmMg.

Geometry as CIF:
```
data_Li2SmMg
_chemical_formula_sum 'Li2 Sm1 Mg1'
_cell_length_a 3.5684
_cell_length_b 3.5684
_cell_length_c 7.3856
_cell_angle_alpha 90.00
_cell_angle_beta 90.00
_cell_angle_gamma 90.00
_space_group_name_H-M_alt 'P 4/m m m'
_space_group_IT_number 123
_space_group_name_Hall '-P 4 2'
loop_
_atom_site_label
_atom_site_fract_x
_atom_site_fract_y
_atom_site_fract_z
_atom_site_occupancy
Li1 0.0000 0.0000 0.2105 1
Sm1 0.5000 0.5000 0.5000 1
Mg1 0.5000 0.5000 0.0000 1
```



Referenced to the most stable arrangement, the calculated values in meV/atom are 1 40; 2 0.



## 1
## LiSmMg (PBE)

Data for an optimized crystal structure of LiSmMg.

Geometry as CIF:
```
data_LiSmMg
_chemical_formula_sum 'Li1 Sm1 Mg1'
_cell_length_a 5.2212
_cell_length_b 5.2212
_cell_length_c 3.2727
_cell_angle_alpha 90.00
_cell_angle_beta 90.00
_cell_angle_gamma 120.00
_space_group_name_H-M_alt 'P -6 m 2'
_space_group_IT_number 187
_space_group_name_Hall 'P -6 2'
loop_
_atom_site_label
_atom_site_fract_x
_atom_site_fract_y
_atom_site_fract_z
_atom_site_occupancy
Li1 0.0000 0.0000 0.0000 1
Sm1 0.6667 0.3333 0.5000 1
Mg1 0.3333 0.6667 0.0000 1
```



## 2
## LiSmMg (PBE)

Data for an optimized crystal structure of LiSmMg.

Geometry as CIF:
```
data_LiSmMg
_chemical_formula_sum 'Li2 Sm2 Mg2'
_cell_length_a 3.5582
_cell_length_b 3.5582
_cell_length_c 12.1288
_cell_angle_alpha 90.00
_cell_angle_beta 90.00
_cell_angle_gamma 90.00
_space_group_name_H-M_alt 'I 4 m m'
_space_group_IT_number 107
_space_group_name_Hall 'I 4 -2'
loop_
_atom_site_label
_atom_site_fract_x
_atom_site_fract_y
_atom_site_fract_z
_atom_site_occupancy
Li1 0.0000 0.0000 0.0000 1
Sm1 0.0000 0.0000 0.6871 1
Mg1 0.0000 0.0000 0.3775 1
```



## 3
## LiSmMg (PBE)

Data for an optimized crystal structure of LiSmMg.

Geometry as CIF:
```
data_LiSmMg
_chemical_formula_sum 'Li2 Sm2 Mg2'
_cell_length_a 3.5285
_cell_length_b 3.5325
_cell_length_c 12.3377
_cell_angle_alpha 89.99
_cell_angle_beta 90.00
_cell_angle_gamma 89.99
_space_group_name_H-M_alt 'P 1'
_space_group_IT_number 1
_space_group_name_Hall 'P 1'
loop_
_atom_site_label
_atom_site_fract_x
_atom_site_fract_y
_atom_site_fract_z
_atom_site_occupancy
Li1 0.0000 0.0000 0.0000 1
Li2 0.5000 0.4985 0.8671 1
Sm1 0.4993 0.4987 0.5395 1
Sm2 0.9994 0.9998 0.3270 1
Mg1 0.4983 0.5007 0.1356 1
Mg2 0.9988 0.9983 0.7311 1
```



Referenced to the most stable arrangement, the calculated values in meV/atom are 1 26; 2 70; 3 0.



## 1
## LiSmMgTl (PBE)

Data for an optimized crystal structure of LiSmMgTl.

Geometry as CIF:
```
data_LiSmMgTl
_chemical_formula_sum 'Li2 Sm2 Mg2 Tl2'
_cell_length_a 5.1485
_cell_length_b 5.1485
_cell_length_c 7.2500
_cell_angle_alpha 90.00
_cell_angle_beta 90.00
_cell_angle_gamma 90.00
_space_group_name_H-M_alt 'I -4 m 2'
_space_group_IT_number 119
_space_group_name_Hall 'I -4 -2'
loop_
_atom_site_label
_atom_site_fract_x
_atom_site_fract_y
_atom_site_fract_z
_atom_site_occupancy
Li1 0.0000 0.0000 0.0000 1
Sm1 0.0000 0.5000 0.7500 1
Mg1 0.0000 0.5000 0.2500 1
Tl1 0.0000 0.0000 0.5000 1
```



## 2
## LiSmMgTl (PBE)

Data for an optimized crystal structure of LiSmMgTl.

Geometry as CIF:
```
data_LiSmMgTl
_chemical_formula_sum 'Li4 Sm4 Mg4 Tl4'
_cell_length_a 7.3294
_cell_length_b 7.3294
_cell_length_c 7.3294
_cell_angle_alpha 90.00
_cell_angle_beta 90.00
_cell_angle_gamma 90.00
_space_group_name_H-M_alt 'F -4 3 m'
_space_group_IT_number 216
_space_group_name_Hall 'F -4 2 3'
loop_
_atom_site_label
_atom_site_fract_x
_atom_site_fract_y
_atom_site_fract_z
_atom_site_occupancy
Li1 0.0000 0.0000 0.0000 1
Sm1 0.0000 0.0000 0.5000 1
Mg1 0.2500 0.2500 0.7500 1
Tl1 0.2500 0.2500 0.2500 1
```



Referenced to the most stable arrangement, the calculated values in meV/atom are 1 0; 2 15.



## 1
## LiMgSn3 (PBE)

Data for an optimized crystal structure of LiMgSn3.

Geometry as CIF:
```
data_LiMgSn3
_chemical_formula_sum 'Li6 Mg6 Sn18'
_cell_length_a 8.3091
_cell_length_b 8.3091
_cell_length_c 12.3212
_cell_angle_alpha 90.00
_cell_angle_beta 90.00
_cell_angle_gamma 120.00
_space_group_name_H-M_alt 'R -3'
_space_group_IT_number 148
_space_group_name_Hall '-R 3'
loop_
_atom_site_label
_atom_site_fract_x
_atom_site_fract_y
_atom_site_fract_z
_atom_site_occupancy
Li1 0.0000 0.0000 0.1174 1
Mg1 0.0000 0.0000 0.3716 1
Sn1 0.0026 0.3148 0.7587 1
```



## 2
## LiMgSn3 (PBE)

Data for an optimized crystal structure of LiMgSn3.

Geometry as CIF:
```
data_LiMgSn3
_chemical_formula_sum 'Li1 Mg1 Sn3'
_cell_length_a 5.0599
_cell_length_b 5.0599
_cell_length_c 5.0599
_cell_angle_alpha 90.00
_cell_angle_beta 90.00
_cell_angle_gamma 90.00
_space_group_name_H-M_alt 'P m -3 m'
_space_group_IT_number 221
_space_group_name_Hall '-P 4 2 3'
loop_
_atom_site_label
_atom_site_fract_x
_atom_site_fract_y
_atom_site_fract_z
_atom_site_occupancy
Li1 0.0000 0.0000 0.0000 1
Mg1 0.5000 0.5000 0.5000 1
Sn1 0.0000 0.0000 0.5000 1
```



## 3
## LiMgSn3 (PBE)

Data for an optimized crystal structure of LiMgSn3.

Geometry as CIF:
```
data_LiMgSn3
_chemical_formula_sum 'Li4 Mg4 Sn12'
_cell_length_a 4.6243
_cell_length_b 21.9920
_cell_length_c 4.6410
_cell_angle_alpha 90.00
_cell_angle_beta 90.00
_cell_angle_gamma 90.00
_space_group_name_H-M_alt 'C m c m'
_space_group_IT_number 63
_space_group_name_Hall '-C 2c 2'
loop_
_atom_site_label
_atom_site_fract_x
_atom_site_fract_y
_atom_site_fract_z
_atom_site_occupancy
Li1 0.0000 0.1566 0.2500 1
Mg1 0.0000 0.3440 0.2500 1
Sn1 0.0000 0.0590 0.7500 1
Sn2 0.0000 0.2499 0.7500 1
Sn3 0.0000 0.4406 0.7500 1
```



Referenced to the most stable arrangement, the calculated values in meV/atom are 1 117; 2 324; 3 0.



## 1
## Li4MgSn (PBE)

Data for an optimized crystal structure of Li4MgSn.

Geometry as CIF:
```
data_Li4MgSn
_chemical_formula_sum 'Li4 Mg1 Sn1'
_cell_length_a 4.6912
_cell_length_b 4.6912
_cell_length_c 5.8463
_cell_angle_alpha 90.00
_cell_angle_beta 90.00
_cell_angle_gamma 120.00
_space_group_name_H-M_alt 'P 6/m m m'
_space_group_IT_number 191
_space_group_name_Hall '-P 6 2'
loop_
_atom_site_label
_atom_site_fract_x
_atom_site_fract_y
_atom_site_fract_z
_atom_site_occupancy
Li1 0.3333 0.6667 0.2277 1
Mg1 0.0000 0.0000 0.5000 1
Sn1 0.0000 0.0000 0.0000 1
```



## 2
## Li4MgSn (PBE)

Data for an optimized crystal structure of Li4MgSn.

Geometry as CIF:
```
data_Li4MgSn
_chemical_formula_sum 'Li16 Mg4 Sn4'
_cell_length_a 12.9162
_cell_length_b 7.7537
_cell_length_c 5.0268
_cell_angle_alpha 90.00
_cell_angle_beta 105.18
_cell_angle_gamma 90.00
_space_group_name_H-M_alt 'C 1 2/m 1'
_space_group_IT_number 12
_space_group_name_Hall '-C 2y'
loop_
_atom_site_label
_atom_site_fract_x
_atom_site_fract_y
_atom_site_fract_z
_atom_site_occupancy
Li1 0.0000 0.1738 0.0000 1
Li2 0.1421 0.1830 0.5938 1
Li3 0.1724 0.5000 0.3132 1
Mg1 0.0606 0.5000 0.7754 1
Sn1 0.2060 0.0000 0.1282 1
```



Referenced to the most stable arrangement, the calculated values in meV/atom are 1 0; 2 114.



## 1
## Li3MgSn4 (PBE)

Data for an optimized crystal structure of Li3MgSn4.

Geometry as CIF:
```
data_Li3MgSn4
_chemical_formula_sum 'Li6 Mg2 Sn8'
_cell_length_a 17.2435
_cell_length_b 4.5491
_cell_length_c 4.5556
_cell_angle_alpha 90.00
_cell_angle_beta 104.33
_cell_angle_gamma 90.00
_space_group_name_H-M_alt 'C 1 2/m 1'
_space_group_IT_number 12
_space_group_name_Hall '-C 2y'
loop_
_atom_site_label
_atom_site_fract_x
_atom_site_fract_y
_atom_site_fract_z
_atom_site_occupancy
Li1 0.0000 0.0000 0.0000 1
Li2 0.2493 0.0000 0.2493 1
Mg1 0.0000 0.5000 0.5000 1
Sn1 0.1280 0.0000 0.6296 1
Sn2 0.1280 0.5000 0.1284 1
```



## 2
## Li3MgSn4 (PBE)

Data for an optimized crystal structure of Li3MgSn4.

Geometry as CIF:
```
data_Li3MgSn4
_chemical_formula_sum 'Li6 Mg2 Sn8'
_cell_length_a 3.3362
_cell_length_b 8.9520
_cell_length_c 12.4549
_cell_angle_alpha 90.00
_cell_angle_beta 90.00
_cell_angle_gamma 90.00
_space_group_name_H-M_alt 'I m m m'
_space_group_IT_number 71
_space_group_name_Hall '-I 2 2'
loop_
_atom_site_label
_atom_site_fract_x
_atom_site_fract_y
_atom_site_fract_z
_atom_site_occupancy
Li1 0.0000 0.0000 0.0000 1
Li2 0.0000 0.5000 0.2049 1
Mg1 0.0000 0.0000 0.5000 1
Sn1 0.0000 0.2666 0.3594 1
```



Referenced to the most stable arrangement, the calculated values in meV/atom are 1 0; 2 103.



## 1
## Li5Mg2Sn2 (PBE)

Data for an optimized crystal structure of Li5Mg2Sn2.

Geometry as CIF:
```
data_Li5Mg2Sn2
_chemical_formula_sum 'Li10 Mg4 Sn4'
_cell_length_a 8.5457
_cell_length_b 4.7913
_cell_length_c 8.3137
_cell_angle_alpha 90.00
_cell_angle_beta 90.00
_cell_angle_gamma 90.00
_space_group_name_H-M_alt 'A m m 2'
_space_group_IT_number 38
_space_group_name_Hall 'A 2 -2'
loop_
_atom_site_label
_atom_site_fract_x
_atom_site_fract_y
_atom_site_fract_z
_atom_site_occupancy
Li1 0.0000 0.0000 0.0000 1
Li2 0.1580 0.0000 0.3320 1
Li3 0.3344 0.0000 0.6645 1
Mg1 0.3201 0.0000 0.9970 1
Sn1 0.0000 0.0000 0.6676 1
Sn2 0.5000 0.0000 0.3299 1
```



## 2
## Li5Mg2Sn2 (PBE)

Data for an optimized crystal structure of Li5Mg2Sn2.

Geometry as CIF:
```
data_Li5Mg2Sn2
_chemical_formula_sum 'Li20 Mg8 Sn8'
_cell_length_a 14.8745
_cell_length_b 5.1135
_cell_length_c 9.8377
_cell_angle_alpha 90.00
_cell_angle_beta 90.00
_cell_angle_gamma 90.00
_space_group_name_H-M_alt 'I m a 2'
_space_group_IT_number 46
_space_group_name_Hall 'I 2 -2a'
loop_
_atom_site_label
_atom_site_fract_x
_atom_site_fract_y
_atom_site_fract_z
_atom_site_occupancy
Li1 0.0547 0.2497 0.0000 1
Li2 0.1135 0.0129 0.2503 1
Li3 0.2500 0.6060 0.2504 1
Mg1 0.0000 0.0000 0.7498 1
Mg2 0.2500 0.2499 0.0003 1
Sn1 0.1369 0.7498 0.0003 1
```



Referenced to the most stable arrangement, the calculated values in meV/atom are 1 0; 2 97.